(1)
Density functional theory data (PBE) for crystalline Pr3DyTm8 at its relaxed geometry.

## Properties
Calculated formation energy = 0.61 eV per formula unit

a b c (Å): 11.1041 8.3843 9.1070
angles (deg): 90.00 115.72 90.00
Space group Cm (No. 8)
One atom of each set of equivalent atoms:
Pr (0.0000, 0.0000, 0.0000) [2 per cell]
Pr (0.2642, 0.2052, 0.9608) [4 per cell]
Dy (0.1628, 0.5000, 0.6562) [2 per cell]
Tm (0.0283, 0.5000, 0.9332) [2 per cell]
Tm (0.0975, 0.2959, 0.3041) [4 per cell]
Tm (0.1952, 0.0000, 0.5947) [2 per cell]
Tm (0.3344, 0.0000, 0.3297) [2 per cell]
Tm (0.3607, 0.5000, 0.2732) [2 per cell]
Tm (0.4301, 0.2933, 0.6257) [4 per cell]

---

(2)
Density functional theory data (PBE) for crystalline Pr3Dy6Tm at its relaxed geometry.

## Properties
Distance to the lowest polymorph of the same formula = 78.6 meV/atom
Calculated formation energy = 2.28 eV per formula unit

a b c (Å): 11.5806 6.5955 9.7761
angles (deg): 90.00 115.31 90.00
Space group C2/m (No. 12)
One atom of each set of equivalent atoms:
Pr (0.0000, 0.0000, 0.0000) [2 per cell]
Pr (0.0720, 0.0000, 0.7012) [4 per cell]
Dy (0.1351, 0.5000, 0.9205) [4 per cell]
Dy (0.1857, 0.2549, 0.3141) [8 per cell]
Tm (0.0000, 0.5000, 0.5000) [2 per cell]

---

(3)
Density functional theory data (PBE) for crystalline Pr4Dy11Tm9 at its relaxed geometry.

## Properties
Calculated formation energy = 1.08 eV per formula unit

a b c (Å): 16.2636 26.2910 3.5887
angles (deg): 90.00 90.00 90.00
Space group Cmmm (No. 65)
One atom of each set of equivalent atoms:
Pr (0.1714, 0.0883, 0.0000) [8 per cell]
Dy (0.0000, 0.1240, 0.5000) [4 per cell]
Dy (0.0000, 0.3127, 0.5000) [4 per cell]
Dy (0.0000, 0.5000, 0.5000) [2 per cell]
Dy (0.2094, 0.5000, 0.5000) [4 per cell]
Dy (0.2186, 0.3137, 0.5000) [8 per cell]
Tm (0.0000, 0.0000, 0.0000) [2 per cell]
Tm (0.1060, 0.2194, 0.0000) [8 per cell]
Tm (0.1085, 0.4059, 0.0000) [8 per cell]

---

(4)
Density functional theory data (PBE) for crystalline Pr2Dy5Tm4 at its relaxed geometry.

## Properties
Distance to the lowest polymorph of the same formula = 0.0 meV/atom
Calculated formation energy = 0.25 eV per formula unit

a b c (Å): 3.5568 8.6998 11.7767
angles (deg): 75.66 81.34 89.97
Space group P-1 (No. 2)
One atom of each set of equivalent atoms:
Pr (0.0903, 0.2261, 0.3189) [2 per cell]
Dy (0.0000, 0.5000, 0.5000) [1 per cell]
Dy (0.2719, 0.6842, 0.9557) [2 per cell]
Dy (0.3628, 0.4061, 0.7737) [2 per cell]
Tm (0.1824, 0.9536, 0.1355) [2 per cell]
Tm (0.4532, 0.1386, 0.5943) [2 per cell]

---

(5)
Density functional theory data (PBE) for crystalline Pr3Dy2Tm7 at its relaxed geometry.

## Properties
Distance to the lowest polymorph of the same formula = 0.0 meV/atom
Calculated formation energy = 1.08 eV per formula unit

a b c (Å): 5.7928 3.5578 18.7413
angles (deg): 90.00 93.08 90.00
Space group P2/m (No. 10)
One atom of each set of equivalent atoms:
Pr (0.0000, 0.0000, 0.0000) [1 per cell]
Pr (0.2755, 0.5000, 0.6330) [2 per cell]
Dy (0.2121, 0.0000, 0.2909) [2 per cell]
Tm (0.1931, 0.5000, 0.1431) [2 per cell]
Tm (0.2429, 0.0000, 0.4614) [2 per cell]
Tm (0.3045, 0.0000, 0.8262) [2 per cell]
Tm (0.5000, 0.5000, 0.0000) [1 per cell]

---

(6)
Density functional theory data (PBE) for crystalline Pr2DyTm8 at its relaxed geometry.

## Properties
Distance to the lowest polymorph of the same formula = 149.1 meV/atom
Calculated formation energy = 1.96 eV per formula unit

a b c (Å): 16.4249 6.5626 6.6322
angles (deg): 90.00 100.30 90.00
Space group C2/m (No. 12)
One atom of each set of equivalent atoms:
Pr (0.2455, 0.0000, 0.3119) [4 per cell]
Dy (0.0000, 0.0000, 0.0000) [2 per cell]
Tm (0.0855, 0.2605, 0.3998) [8 per cell]
Tm (0.0884, 0.5000, 0.9064) [4 per cell]
Tm (0.1987, 0.0000, 0.8028) [4 per cell]

---

(7)
Density functional theory data (PBE) for crystalline Pr3Dy3Tm8 at its relaxed geometry.

## Properties
Calculated formation energy = 1.53 eV per formula unit

a b c (Å): 5.6130 10.7255 15.0426
angles (deg): 90.00 90.00 90.00
Space group Immm (No. 71)
One atom of each set of equivalent atoms:
Pr (0.0000, 0.0000, 0.0000) [2 per cell]
Pr (0.0000, 0.5000, 0.3143) [4 per cell]
Dy (0.0000, 0.0000, 0.5000) [2 per cell]
Dy (0.0000, 0.2966, 0.5000) [4 per cell]
Tm (0.0000, 0.1617, 0.2804) [8 per cell]
Tm (0.0000, 0.3419, 0.1022) [8 per cell]

---

(8)
Density functional theory data (PBE) for crystalline Pr2Dy4Tm at its relaxed geometry.

## Properties
Distance to the lowest polymorph of the same formula = 0.0 meV/atom
Calculated formation energy = 0.76 eV per formula unit

a b c (Å): 13.8013 3.7283 18.3755
angles (deg): 90.00 101.43 90.00
Space group C2/m (No. 12)
One atom of each set of equivalent atoms:
Pr (0.0929, 0.0000, 0.3561) [4 per cell]
Pr (0.1576, 0.5000, 0.1800) [4 per cell]
Dy (0.0474, 0.0000, 0.8219) [4 per cell]
Dy (0.1423, 0.5000, 0.6997) [4 per cell]
Dy (0.1993, 0.0000, 0.5564) [4 per cell]
Dy (0.2113, 0.5000, 0.9281) [4 per cell]
Tm (0.0000, 0.0000, 0.0000) [2 per cell]
Tm (0.0000, 0.5000, 0.5000) [2 per cell]

---

(9)
Density functional theory data (PBE) for crystalline Pr4DyTm6 at its relaxed geometry.

## Properties
Distance to the lowest polymorph of the same formula = 0.0 meV/atom
Calculated formation energy = 3.24 eV per formula unit

a b c (Å): 6.6661 6.6661 16.9150
angles (deg): 90.00 90.00 90.00
Space group I-42m (No. 121)
One atom of each set of equivalent atoms:
Pr (0.1902, 0.1902, 0.1758) [8 per cell]
Dy (0.0000, 0.0000, 0.0000) [2 per cell]
Tm (0.0000, 0.5000, 0.0000) [4 per cell]
Tm (0.1776, 0.1776, 0.3774) [8 per cell]

---

(10)
Density functional theory data (PBE) for crystalline Pr4Dy5Tm2 at its relaxed geometry.

## Properties
Distance to the lowest polymorph of the same formula = 0.0 meV/atom
Calculated formation energy = 1.21 eV per formula unit

a b c (Å): 19.1974 5.6688 6.6780
angles (deg): 90.00 90.76 90.00
Space group C2/m (No. 12)
One atom of each set of equivalent atoms:
Pr (0.0196, 0.0000, 0.2888) [4 per cell]
Pr (0.1931, 0.5000, 0.0695) [4 per cell]
Dy (0.0000, 0.5000, 0.0000) [2 per cell]
Dy (0.1302, 0.0000, 0.8880) [4 per cell]
Dy (0.2087, 0.0000, 0.4023) [4 per cell]
Tm (0.0975, 0.5000, 0.5546) [4 per cell]

---

(11)
Density functional theory data (PBE) for crystalline PrDy4Tm at its relaxed geometry.

## Properties
Distance to the lowest polymorph of the same formula = 177.0 meV/atom
Calculated formation energy = 1.19 eV per formula unit

a b c (Å): 11.5501 3.4522 11.5367
angles (deg): 90.00 119.99 90.00
Space group C2/m (No. 12)
One atom of each set of equivalent atoms:
Pr (0.0000, 0.0000, 0.0000) [2 per cell]
Dy (0.1533, 0.5000, 0.8415) [4 per cell]
Dy (0.1551, 0.0000, 0.3482) [4 per cell]
Tm (0.0000, 0.5000, 0.5000) [2 per cell]

---

(12)
Density functional theory data (PBE) for crystalline Pr3Dy8Tm3 at its relaxed geometry.

## Properties
Calculated formation energy = 1.49 eV per formula unit

a b c (Å): 5.6538 10.8045 15.0194
angles (deg): 90.00 90.00 90.00
Space group Immm (No. 71)
One atom of each set of equivalent atoms:
Pr (0.0000, 0.0000, 0.0000) [2 per cell]
Pr (0.0000, 0.5000, 0.3175) [4 per cell]
Dy (0.0000, 0.1606, 0.2799) [8 per cell]
Dy (0.0000, 0.3418, 0.1021) [8 per cell]
Tm (0.0000, 0.0000, 0.5000) [2 per cell]
Tm (0.0000, 0.2950, 0.5000) [4 per cell]